A geometry-optimized Li2HfNb structure. Source: Alexandria, functional PBE-GGA.

```
data_Li2HfNb
_chemical_formula_sum 'Li8 Hf4 Nb4'
_cell_length_a 6.4352
_cell_length_b 6.4352
_cell_length_c 6.4352
_cell_angle_alpha 90.00
_cell_angle_beta 90.00
_cell_angle_gamma 90.00
_symmetry_space_group_name_H-M 'F m -3 m'
_symmetry_Int_Tables_number 225
_symmetry_space_group_name_Hall '-F 4 2 3'
loop_
_atom_site_label
_atom_site_fract_x
_atom_site_fract_y
_atom_site_fract_z
Li1 0.2500 0.2500 0.2500
Hf1 0.0000 0.0000 0.0000
Nb1 0.0000 0.0000 0.5000
```

Calculated formation energy (eV/atom): 0.491
Density (Mg/m³): 7.11
ΔE to the lowest computed polymorph (meV/atom): 0


A geometry-optimized LiHfNb structure. Source: Alexandria, functional PBE-GGA.

```
data_LiHfNb
_chemical_formula_sum 'Li4 Hf4 Nb4'
_cell_length_a 9.7161
_cell_length_b 4.8341
_cell_length_c 5.5316
_cell_angle_alpha 90.00
_cell_angle_beta 123.34
_cell_angle_gamma 90.00
_symmetry_space_group_name_H-M 'C 1 2/m 1'
_symmetry_Int_Tables_number 12
_symmetry_space_group_name_Hall '-C 2y'
loop_
_atom_site_label
_atom_site_fract_x
_atom_site_fract_y
_atom_site_fract_z
Li1 0.1346 0.0000 0.0786
Hf1 0.1795 0.0000 0.6152
Nb1 0.0319 0.5000 0.7664
```

Calculated formation energy (eV/atom): 0.267
Density (Mg/m³): 8.52
ΔE to the lowest computed polymorph (meV/atom): 158


A geometry-optimized LiHfNb structure. Source: Alexandria, functional PBE-GGA.

```
data_LiHfNb
_chemical_formula_sum 'Li4 Hf4 Nb4'
_cell_length_a 3.0009
_cell_length_b 15.9270
_cell_length_c 4.9888
_cell_angle_alpha 90.00
_cell_angle_beta 90.00
_cell_angle_gamma 90.00
_symmetry_space_group_name_H-M 'C m c 21'
_symmetry_Int_Tables_number 36
_symmetry_space_group_name_Hall 'C 2c -2'
loop_
_atom_site_label
_atom_site_fract_x
_atom_site_fract_y
_atom_site_fract_z
Li1 0.0000 0.2493 0.0000
Hf1 0.0000 0.4232 0.6149
Nb1 0.0000 0.0848 0.6142
```

Calculated formation energy (eV/atom): 0.222
Density (Mg/m³): 7.75
ΔE to the lowest computed polymorph (meV/atom): 114


A geometry-optimized LiHf3Nb structure. Source: Alexandria, functional PBE-GGA.

```
data_LiHf3Nb
_chemical_formula_sum 'Li1 Hf3 Nb1'
_cell_length_a 4.6632
_cell_length_b 4.6632
_cell_length_c 4.6632
_cell_angle_alpha 90.00
_cell_angle_beta 90.00
_cell_angle_gamma 90.00
_symmetry_space_group_name_H-M 'P m -3 m'
_symmetry_Int_Tables_number 221
_symmetry_space_group_name_Hall '-P 4 2 3'
loop_
_atom_site_label
_atom_site_fract_x
_atom_site_fract_y
_atom_site_fract_z
Li1 0.0000 0.0000 0.0000
Hf1 0.0000 0.0000 0.5000
Nb1 0.5000 0.5000 0.5000
```

Calculated formation energy (eV/atom): 0.951
Density (Mg/m³): 10.40
ΔE to the lowest computed polymorph (meV/atom): 0


A geometry-optimized LiHfNb structure. Source: Alexandria, functional PBE-GGA.

```
data_LiHfNb
_chemical_formula_sum 'Li2 Hf2 Nb2'
_cell_length_a 4.8201
_cell_length_b 3.2059
_cell_length_c 8.0259
_cell_angle_alpha 90.00
_cell_angle_beta 106.06
_cell_angle_gamma 90.00
_symmetry_space_group_name_H-M 'C 1 m 1'
_symmetry_Int_Tables_number 8
_symmetry_space_group_name_Hall 'C -2y'
loop_
_atom_site_label
_atom_site_fract_x
_atom_site_fract_y
_atom_site_fract_z
Li1 0.0000 0.0000 0.0000
Hf1 0.3179 0.0000 0.6462
Nb1 0.1752 0.5000 0.3351
```

Calculated formation energy (eV/atom): 0.246
Density (Mg/m³): 7.76
ΔE to the lowest computed polymorph (meV/atom): 137


A geometry-optimized LiHf2Nb structure. Source: Alexandria, functional PBE-GGA.

```
data_LiHf2Nb
_chemical_formula_sum 'Li4 Hf8 Nb4'
_cell_length_a 6.7364
_cell_length_b 6.7364
_cell_length_c 6.7364
_cell_angle_alpha 90.00
_cell_angle_beta 90.00
_cell_angle_gamma 90.00
_symmetry_space_group_name_H-M 'F m -3 m'
_symmetry_Int_Tables_number 225
_symmetry_space_group_name_Hall '-F 4 2 3'
loop_
_atom_site_label
_atom_site_fract_x
_atom_site_fract_y
_atom_site_fract_z
Li1 0.0000 0.0000 0.0000
Hf1 0.2500 0.2500 0.2500
Nb1 0.0000 0.0000 0.5000
```

Calculated formation energy (eV/atom): 0.184
Density (Mg/m³): 9.93
ΔE to the lowest computed polymorph (meV/atom): 4


Q: The highest calculated formation energy belongs to which entry?
A: LiHf3Nb


Q: Look up the density of the third one.
A: 7.75 Mg/m³


Q: The highest density belongs to which entry?
A: LiHf3Nb